# 1
YAs2Ru | the Alexandria database | PBE | relaxed; E = -6.58 eV/atom; total magnetic moment = 0.0 μB/f.u.; DOS at the Fermi energy = 2.29 states/eV/f.u.; offset from the most stable computed form = 407.1 meV/atom
1.0
-2.0082 2.0082 4.5990
2.0082 -2.0082 4.5990
2.0082 2.0082 -4.5990
Y As Ru
1 2 1
direct
0.0000 0.0000 0.0000
0.2500 0.7500 0.5000
0.5000 0.5000 0.0000
0.7500 0.2500 0.5000

# 2
CsTiV2Au | the Alexandria database | PBE | relaxed; E = -4.52 eV/atom; total magnetic moment = 3.3 μB/f.u.; DOS at the Fermi energy = 4.43 states/eV/f.u.; offset from the most stable computed form = 297.7 meV/atom
1.0
4.6812 0.0000 0.0000
0.0000 4.6812 0.0000
0.0000 0.0000 5.9636
Cs Ti V Au
1 1 2 1
direct
0.0000 0.0000 0.0000
0.0000 0.0000 0.5000
0.0000 0.5000 0.5000
0.5000 0.0000 0.5000
0.5000 0.5000 0.0000

# 3
La12SmDy5 | the Alexandria database | PBE | relaxed; E = -4.81 eV/atom; total magnetic moment = 0.0 μB/f.u.; DOS at the Fermi energy = 27.91 states/eV/f.u.
1.0
9.5600 -5.4722 0.0000
9.5600 5.4722 0.0000
-2.0985 0.0000 6.0299
La Sm Dy
12 1 5
direct
0.0042 0.6624 0.1662
0.1620 0.5043 0.6659
0.1698 0.8302 0.0000
0.3283 0.6717 0.5000
0.3376 0.9958 0.8338
0.4957 0.8380 0.3341
0.5043 0.1620 0.6659
0.6624 0.0042 0.1662
0.6717 0.3283 0.5000
0.8302 0.1698 0.0000
0.8380 0.4957 0.3341
0.9958 0.3376 0.8338
0.5000 0.5000 0.0000
0.0000 0.0000 0.5000
0.1667 0.1667 0.3340
0.3329 0.3329 0.1673
0.6671 0.6671 0.8327
0.8333 0.8333 0.6660

# 4
Dy3Ho2ScAs6 | the Alexandria database | PBE | relaxed; E = -6.26 eV/atom; total magnetic moment = 0.0 μB/f.u.; DOS at the Fermi energy = 1.82 states/eV/f.u.
1.0
8.8789 -2.0388 0.0000
8.8789 2.0388 0.0000
-1.8666 0.0000 7.9316
Dy Ho Sc As
3 2 1 6
direct
0.0000 0.0000 0.0000
0.3327 0.3327 0.6657
0.6673 0.6673 0.3343
0.3344 0.3344 0.1681
0.6656 0.6656 0.8319
0.0000 0.0000 0.5000
0.1628 0.1628 0.5819
0.1670 0.1670 0.0827
0.5004 0.5004 0.2601
0.4996 0.4996 0.7399
0.8330 0.8330 0.9173
0.8372 0.8372 0.4181

# 5
PmTmSnGe | the Alexandria database | PBE | relaxed; E = -4.98 eV/atom; total magnetic moment = 0.0 μB/f.u.; DOS at the Fermi energy = 3.69 states/eV/f.u.
1.0
0.0000 3.7165 3.7165
3.7165 0.0000 3.7165
3.7165 3.7165 0.0000
Pm Tm Sn Ge
1 1 1 1
direct
0.0000 0.0000 0.0000
0.5000 0.5000 0.5000
0.7500 0.7500 0.7500
0.2500 0.2500 0.2500

# 6
Ac2Zn5Ni4 | the Alexandria database | PBE | relaxed; E = -3.65 eV/atom; total magnetic moment = 0.0 μB/f.u.; DOS at the Fermi energy = 6.33 states/eV/f.u.; offset from the most stable computed form = 41.4 meV/atom
1.0
-2.5539 4.2246 4.8586
2.5539 -4.2246 4.8586
2.5539 4.2246 -4.8586
Ac Zn Ni
2 5 4
direct
0.2403 0.0000 0.2403
0.7597 0.0000 0.7597
0.2543 0.5101 0.2559
0.2543 0.9984 0.7441
0.5000 0.5000 0.0000
0.7457 0.0016 0.2559
0.7457 0.4899 0.7441
0.0538 0.2992 0.7547
0.4555 0.7008 0.7547
0.5445 0.2992 0.2453
0.9462 0.7008 0.2453

Q: Look up the E of the sixth one.
A: -3.65 eV/atom